An optimized crystal structure of MgSiAg2F, computed with PBE.

Structure (extended XYZ):
```
5
Lattice="4.7274 0.0000 0.0000 0.0000 4.7274 0.0000 0.0000 0.0000 5.1855" Properties=species:S:1:pos:R:3 pbc="T T T"
Mg 0.0000 0.0000 0.0000
Si 0.0000 0.0000 2.5927
Ag 0.0000 2.3637 2.5927
Ag 2.3637 0.0000 2.5927
F 2.3637 2.3637 0.0000
```

Computed properties:
DOS(E_F) = 3.09 states/eV/cell
calculated total energy = -3.008 eV per atom
space-group type = P4/mmm, No. 123



An optimized crystal structure of TmZr2Ru3, computed with PBE.

Structure (extended XYZ):
```
6
Lattice="3.2973 0.0000 0.0000 0.0000 3.2973 0.0000 0.0000 0.0000 9.9457" Properties=species:S:1:pos:R:3 pbc="T T T"
Tm 0.0000 0.0000 0.0000
Zr 0.0000 0.0000 3.3201
Zr 0.0000 0.0000 6.6255
Ru 1.6486 1.6486 1.7724
Ru 1.6486 1.6486 4.9728
Ru 1.6486 1.6486 8.1733
```

Computed properties:
DOS(E_F) = 0.68 states/eV/cell
ΔH_f (0 K) = -0.621 eV/atom
relative energy among the computed polymorphs = 0.0 meV per atom
space-group type = P4/mmm, No. 123



An optimized crystal structure of Ti2NbAl, computed with PBE.

Structure (extended XYZ):
```
4
Lattice="1.7196 -2.2196 0.0000 1.7196 2.2196 0.0000 0.0000 0.0000 8.9673" Properties=species:S:1:pos:R:3 pbc="T T T"
Ti 0.0000 0.0000 2.2232
Ti 0.0000 0.0000 6.7441
Nb 1.7196 0.0000 4.4836
Al 1.7196 0.0000 0.0000
```

Computed properties:
DOS(E_F) = 4.52 states/eV/cell
ΔH_f (0 K) = -0.143 eV/atom
space-group type = Cmmm, No. 65